20
Lattice="-3.170 -4.669 3.686 -0.684 -6.415 -1.951 11.993 -4.825 6.784" Properties=species:S:1:pos:R:3 comment="PBE Dy3InAg, relaxed" sg="No. 15" total_magnetization_mub_per_atom=0.000 density_g_cm3=8.56 ef_ev_per_atom=-0.16 total_energy_ev_per_fu=-20.20 pbc="T T T"
Dy 7.469 -6.971 7.777
Dy 5.078 -10.234 7.733
Dy 0.669 -8.937 0.742
Dy 3.060 -5.674 0.785
Dy 4.923 -10.834 4.351
Dy 10.017 -8.052 5.735
Dy 3.215 -5.074 4.168
Dy -1.878 -7.856 2.784
Dy 9.468 -11.219 4.896
Dy 6.551 -8.425 2.743
Dy 1.587 -7.483 5.775
Dy -1.330 -4.689 3.623
In 8.489 -10.334 7.893
In 4.999 -7.532 5.485
In -0.351 -5.575 0.626
In 3.139 -8.376 3.034
Ag 5.654 -5.620 2.417
Ag -1.585 -2.334 1.843
Ag 0.866 -6.604 3.028
Ag 7.272 -9.304 5.491